First-principles (PBE) data for crystalline Li2MgCd2 at its relaxed geometry, as listed in Alexandria via LeMat-Bulk.

Unit cell a=3.8191 b=3.8191 c=7.7110 alpha=75.66 beta=75.66 gamma=90.00
Last column: nearest neighbours and their distance in Å.
Fractional positions:
Mg 0.0000 0.0000 0.0000  8 Cd 3.09
Li 0.2500 0.7500 0.5000  4 Li 2.70, 4 Cd 2.85
Cd 0.6036 0.6036 0.7927  4 Li 2.85, 1 Cd 2.99, 4 Mg 3.09
Li 0.7500 0.2500 0.5000  4 Li 2.70, 4 Cd 2.85
Cd 0.3964 0.3964 0.2073  4 Li 2.85, 1 Cd 2.99, 4 Mg 3.09

Computed properties:
The crystal system is tetragonal. For the excess energy over the best structure of this formula in the dataset, the calculation gives 136 meV/atom. As for the space group: No. 139. The energy relative to the elements comes out at -1.627 kcal/mol of atoms. As for the mass density: 4.1 Mg/m³. For the magnetization, the calculation gives 0.0 μB per cell.